Record 1
VASP calculation (PBE) on a relaxed Cs2TlGaI6 crystal.

Geometry as extended XYZ:
```
10
Lattice="0.000 6.155 6.155 6.155 0.000 6.155 6.155 6.155 0.000" Properties=species:S:1:pos:R:3 pbc="T T T"
Cs 3.077 3.077 3.077
Cs 9.232 9.232 9.232
Tl 0.000 0.000 0.000
Ga 6.155 6.155 6.155
I 6.155 6.155 3.319
I 6.155 3.319 6.155
I 8.990 6.155 6.155
I 3.319 6.155 6.155
I 6.155 8.990 6.155
I 6.155 6.155 8.990
```

Computed properties:
Formation energy from raw total energies in kcal/mol of atoms: -20.6
Magnetic moment in Bohr magnetons per cell: 0.00
Crystal system: cubic



Record 2
VASP calculation (PBE) on a relaxed CrCd2Se crystal.

Geometry as extended XYZ:
```
4
Lattice="-1.975 1.975 5.413 1.975 -1.975 5.413 1.975 1.975 -5.413" Properties=species:S:1:pos:R:3 pbc="T T T"
Cr 0.000 0.000 0.000
Cd 1.975 0.000 2.706
Cd 0.000 1.975 2.706
Se 0.000 0.000 5.413
```

Computed properties:
Formation energy from raw total energies in kcal/mol of atoms: 3.3
Magnetic moment in Bohr magnetons per cell: 4.05
Crystal system: tetragonal



Please write out number 1 again, unchanged.
VASP calculation (PBE) on a relaxed Cs2TlGaI6 crystal.

Geometry as extended XYZ:
```
10
Lattice="0.000 6.155 6.155 6.155 0.000 6.155 6.155 6.155 0.000" Properties=species:S:1:pos:R:3 pbc="T T T"
Cs 3.077 3.077 3.077
Cs 9.232 9.232 9.232
Tl 0.000 0.000 0.000
Ga 6.155 6.155 6.155
I 6.155 6.155 3.319
I 6.155 3.319 6.155
I 8.990 6.155 6.155
I 3.319 6.155 6.155
I 6.155 8.990 6.155
I 6.155 6.155 8.990
```

Computed properties:
Formation energy from raw total energies in kcal/mol of atoms: -20.6
Magnetic moment in Bohr magnetons per cell: 0.00
Crystal system: cubic